1.
A plane-wave DFT calculation with PBE-GGA was carried out for a relaxed PmDyCd crystal.

The structure belongs to space group Cmcm (No. 63); the cell edges are 3.471, 19.702 and 5.199 Å and the angles 90.00°, 90.00° and 90.00°. The inequivalent atoms are Pm at (0.000, 0.128, 0.250), Dy at (0.000, 0.456, 0.250) and Cd at (0.000, 0.295, 0.250).

The density of states at the Fermi level comes out at 14.77 states/eV per cell. For the final energy, the calculation gives -3.451 eV/atom. The energy of formation from the pure elements comes out at -8 kJ/mol of formula units. Its energy above the most stable polymorph in this dataset is 0.50 eV per formula unit.


2.
A plane-wave DFT calculation with PBE-GGA was carried out for a relaxed PmDy2Cd2 crystal.

The structure belongs to space group P2_1/m (No. 11); the cell edges are 3.743, 5.417 and 13.948 Å and the angles 90.00°, 97.72° and 90.00°. The inequivalent atoms are Pm at (0.149, 0.250, 0.297), Dy at (0.047, 0.750, 0.093), Dy at (0.236, 0.750, 0.473), Cd at (0.358, 0.250, 0.717) and Cd at (0.451, 0.750, 0.902).

The density of states at the Fermi level comes out at 10.63 states/eV per cell. For the final energy, the calculation gives -3.413 eV/atom. The energy of formation from the pure elements comes out at -123 kJ/mol of formula units. Its energy above the most stable polymorph in this dataset is 0.00 eV per formula unit.


3.
A plane-wave DFT calculation with PBE-GGA was carried out for a relaxed Pm3DyCd crystal.

The structure belongs to space group P2_1/m (No. 11); the cell edges are 3.798, 9.424 and 9.580 Å and the angles 90.00°, 101.40° and 90.00°. The inequivalent atoms are Pm at (0.097, 0.006, 0.194), Pm at (0.298, 0.250, 0.597), Dy at (0.490, 0.250, 0.980) and Cd at (0.335, 0.750, 0.671).

The density of states at the Fermi level comes out at 11.73 states/eV per cell. For the final energy, the calculation gives -3.904 eV/atom. The energy of formation from the pure elements comes out at 24 kJ/mol of formula units. Its energy above the most stable polymorph in this dataset is 0.80 eV per formula unit.